GePPt3 PBE optimized geometry; offset from the most stable computed form = 3.309 eV/f.u.; energy of formation = 771 meV per atom; total magnetic moment = 0.0 μB/cell; energy = -24.3 eV for the cell shown
1.0
-0.900 -0.835 -4.474
-1.926 -4.063 1.145
-4.124 2.079 0.442
P Ge Pt
1 1 3
direct
0.500 0.500 0.500
0.000 0.000 0.000
0.000 0.500 0.000
0.000 0.000 0.500
0.500 0.000 0.000